3
Lattice="-4.1030 0.0896 -0.3698 -2.2916 -2.9404 1.7557 -2.3443 0.8918 3.2693" Properties=species:S:1:pos:R:3 comment="ZnPtRh | Alexandria via LeMat-Bulk | PBE-GGA | optimized geometry" space_group="No. 216" formation_enthalpy_0k_ev_per_atom=0.07 de_polymorph_ev_per_atom=0.3913 total_energy_ev_per_atom=-4.8187 pbc="T T T"
Pt 0.0000 0.0000 0.0000
Zn -6.5542 -1.4692 3.4914
Rh -4.3695 -0.9795 2.3276


4
Lattice="3.1675 0.0000 0.0000 0.0000 3.1675 0.0000 0.0000 0.0000 5.7920" Properties=species:S:1:pos:R:3 comment="Zn2PtRh | Alexandria via LeMat-Bulk | PBE-GGA | optimized geometry" space_group="No. 99" formation_enthalpy_0k_ev_per_atom=-0.26 total_energy_ev_per_atom=-4.2495 pbc="T T T"
Zn 1.5838 1.5838 1.4451
Zn 0.0000 0.0000 5.7598
Rh 1.5838 1.5838 4.5084
Pt 0.0000 0.0000 2.7668


10
Lattice="7.2579 0.0000 0.0000 0.0000 7.2579 0.0000 0.0000 0.0000 2.8419" Properties=species:S:1:pos:R:3 comment="Zn2Pt2Rh | Alexandria via LeMat-Bulk | PBE-GGA | optimized geometry" space_group="No. 127" formation_enthalpy_0k_ev_per_atom=-0.25 de_polymorph_ev_per_atom=0.0000 total_energy_ev_per_atom=-4.6462 pbc="T T T"
Pt 4.8610 6.0259 1.4210
Pt 2.3969 1.2320 1.4210
Pt 1.2320 4.8610 1.4210
Pt 6.0259 2.3969 1.4210
Zn 2.6922 6.3212 0.0000
Zn 0.9367 2.6922 0.0000
Zn 6.3212 4.5656 0.0000
Zn 4.5656 0.9367 0.0000
Rh 0.0000 0.0000 0.0000
Rh 3.6289 3.6289 0.0000


5
Lattice="4.5613 0.0000 0.0000 0.0000 4.5613 0.0000 0.0000 0.0000 4.5613" Properties=species:S:1:pos:R:3 comment="ZnPt3Rh | Alexandria via LeMat-Bulk | PBE-GGA | optimized geometry" space_group="No. 221" formation_enthalpy_0k_ev_per_atom=1.05 de_polymorph_ev_per_atom=1.2818 total_energy_ev_per_atom=-4.3043 pbc="T T T"
Pt 0.0000 2.2806 0.0000
Pt 2.2806 0.0000 0.0000
Pt 0.0000 0.0000 2.2806
Rh 2.2806 2.2806 2.2806
Zn 0.0000 0.0000 0.0000


16
Lattice="3.9253 0.0000 0.0000 0.0000 3.9253 0.0000 0.0000 0.0000 15.8532" Properties=species:S:1:pos:R:3 comment="ZnPt12Rh3 | Alexandria via LeMat-Bulk | PBE-GGA | optimized geometry" space_group="No. 123" formation_enthalpy_0k_ev_per_atom=-0.10 total_energy_ev_per_atom=-6.0884 pbc="T T T"
Pt 0.0000 1.9627 5.9451
Pt 1.9627 0.0000 13.8909
Pt 1.9627 1.9627 7.9266
Pt 1.9627 1.9627 3.9354
Pt 1.9627 0.0000 1.9623
Pt 1.9627 1.9627 11.9178
Pt 0.0000 1.9627 13.8909
Pt 1.9627 0.0000 9.9081
Pt 0.0000 1.9627 9.9081
Pt 1.9627 0.0000 5.9451
Pt 1.9627 1.9627 0.0000
Pt 0.0000 1.9627 1.9623
Rh 0.0000 0.0000 7.9266
Rh 0.0000 0.0000 11.8612
Rh 0.0000 0.0000 3.9920
Zn 0.0000 0.0000 0.0000


10
Lattice="-2.5299 -1.0669 -1.0906 1.8844 -3.8883 -0.5674 -1.8606 -2.4645 10.7083" Properties=species:S:1:pos:R:3 comment="Zn2PtRh2 | Alexandria via LeMat-Bulk | PBE-GGA | optimized geometry" space_group="No. 11" formation_enthalpy_0k_ev_per_atom=-0.31 de_polymorph_ev_per_atom=0.0000 total_energy_ev_per_atom=-4.9715 pbc="T T T"
Rh -0.0747 -4.3429 4.4091
Rh -2.4314 -3.0768 4.6412
Rh 1.1285 -3.1891 0.4989
Rh -3.6346 -4.2305 8.5514
Zn -0.7386 -4.2996 1.9079
Zn -1.1180 -1.8167 0.3684
Zn -1.3881 -5.6030 8.6819
Zn -1.7676 -3.1200 7.1425
Pt -2.0259 -5.5355 6.1017
Pt -0.4802 -1.8841 2.9486


12
Lattice="-1.1224 -3.5119 -1.3409 0.1286 -1.4345 3.6492 -11.3941 3.0329 1.5938" Properties=species:S:1:pos:R:3 comment="ZnPt9Rh2 | Alexandria via LeMat-Bulk | PBE-GGA | optimized geometry" space_group="No. 123" formation_enthalpy_0k_ev_per_atom=-0.13 total_energy_ev_per_atom=-5.9916 pbc="T T T"
Zn 0.0000 0.0000 0.0000
Pt -9.4500 1.8153 3.1555
Pt -2.4410 -1.2556 -0.4075
Pt -8.1345 -0.4402 2.2225
Pt -1.8155 -0.2169 2.0875
Pt -4.2533 -1.4733 1.6796
Pt -6.2582 -0.2395 0.1264
Pt -10.0755 0.7766 0.6604
Pt -0.4969 -2.4732 1.1541
Pt -5.6327 0.7992 2.6215
Rh -7.5504 2.0098 1.0561
Rh -3.8437 1.0231 0.5377


4
Lattice="2.7800 0.0000 0.0000 0.0000 3.8733 0.0000 0.0000 0.0000 5.3903" Properties=species:S:1:pos:R:3 comment="Zn2PtRh | Alexandria via LeMat-Bulk | PBE-GGA | optimized geometry" space_group="No. 25" formation_enthalpy_0k_ev_per_atom=-0.33 total_energy_ev_per_atom=-4.3161 pbc="T T T"
Pt 0.0000 0.0000 2.5937
Zn 0.0000 0.0000 5.3004
Zn 1.3900 1.9366 1.4118
Rh 1.3900 1.9366 4.1698